VASP calculation (GGA-PBE) on a geometry-optimized Zn2Pb2Br structure.

```
data_Zn2Pb2Br
_symmetry_space_group_name_H-M 'P 4/m b m'
_symmetry_Int_Tables_number 127
_symmetry_space_group_name_Hall '-P 4 2ab'
_cell_length_a 8.499
_cell_length_b 8.499
_cell_length_c 3.569
_cell_angle_alpha 90.00
_cell_angle_beta 90.00
_cell_angle_gamma 90.00
loop_
_atom_site_label
_atom_site_fract_x
_atom_site_fract_y
_atom_site_fract_z
_atom_site_occupancy
Zn1 0.105 0.395 0.000 1
Pb1 0.200 0.700 0.500 1
Br1 0.000 0.000 0.000 1
```

Values from the calculation:
Calculated total energy = -2.325 eV/atom
Magnetic moment = 0.0 μB per cell
Formation energy from raw total energies = 0.00 eV per atom